1.
## ZnReAg2 (PBE)

Data for a relaxed ZnReAg2 crystal.

a = 5.0326 Å, b = 5.0326 Å, c = 5.0326 Å
α = 134.07°, β = 134.07°, γ = 66.98°
Sites, in units of the cell vectors:
Zn 0.7500 0.2500 0.5000
Ag 0.0000 0.0000 0.0000
Ag 0.5000 0.5000 0.0000
Re 0.2500 0.7500 0.5000

Calculated formation energy ... 713 meV per atom
Space-group type ... No. 139
Crystal system ... tetragonal

=====

2.
## ZnReAg2 (PBE)

Data for a relaxed ZnReAg2 crystal.

a = 2.7032 Å, b = 4.0894 Å, c = 5.8495 Å
α = 90.00°, β = 90.00°, γ = 90.00°
Sites, in units of the cell vectors:
Ag 0.0000 0.0000 0.9986
Ag 0.5000 0.5000 0.2563
Zn 0.5000 0.5000 0.7294
Re 0.0000 0.0000 0.5157

Calculated formation energy ... 478 meV per atom
Space-group type ... No. 25
Crystal system ... orthorhombic

=====

3.
## Zn2ReAg (PBE)

Data for a relaxed Zn2ReAg crystal.

a = 2.7153 Å, b = 2.7153 Å, c = 8.2431 Å
α = 90.00°, β = 90.00°, γ = 90.00°
Sites, in units of the cell vectors:
Re 0.5000 0.5000 0.7500
Zn 0.0000 0.0000 0.5070
Zn 0.0000 0.0000 0.9930
Ag 0.5000 0.5000 0.2500

Calculated formation energy ... 189 meV per atom
Space-group type ... No. 123
Energy above the lowest structure with this stoichiometry ... 0.066 eV per atom
Crystal system ... tetragonal

=====

4.
## Zn2ReAg (PBE)

Data for a relaxed Zn2ReAg crystal.

a = 2.8391 Å, b = 4.8509 Å, c = 4.4863 Å
α = 90.00°, β = 90.00°, γ = 90.00°
Sites, in units of the cell vectors:
Zn 0.5000 0.5000 0.0000
Zn 0.0000 0.0000 0.0000
Re 0.0000 0.5000 0.5000
Ag 0.5000 0.0000 0.5000

Calculated formation energy ... 433 meV per atom
Space-group type ... No. 47
Energy above the lowest structure with this stoichiometry ... 0.310 eV per atom
Crystal system ... orthorhombic

=====

- Number 3 is which compound?
  Zn2ReAg